(1)
A relaxed structure of Li4Dy3USe8, computed with PBE.

a = 8.029 Å, b = 8.029 Å, c = 8.029 Å
α = 60.93°, β = 60.93°, γ = 60.93°
Sites, in units of the cell vectors:
Li  0.000  0.000  0.000
Li  0.000  0.500  0.500
Li  0.500  0.000  0.500
Li  0.500  0.500  0.000
Dy  0.000  0.000  0.500
Dy  0.000  0.500  0.000
Dy  0.500  0.000  0.000
U  0.500  0.500  0.500
Se  0.247  0.247  0.750
Se  0.247  0.750  0.247
Se  0.250  0.753  0.753
Se  0.251  0.251  0.251
Se  0.749  0.749  0.749
Se  0.750  0.247  0.247
Se  0.753  0.250  0.753
Se  0.753  0.753  0.250

Properties
- space-group type = R-3m (166)
- final energy (eV per atom) = -5.34
- calculated volume (A^3/atom) = 23.35
- D(E_F) (states/eV per cell) = 7.8

=====

(2)
A relaxed structure of Li3Dy2USe6, computed with PBE.

a = 7.055 Å, b = 7.055 Å, c = 6.935 Å
α = 99.76°, β = 99.76°, γ = 119.99°
Sites, in units of the cell vectors:
Li  0.000  0.000  0.000
Li  0.332  0.668  0.000
Li  0.668  0.332  0.000
Dy  0.167  0.833  0.500
Dy  0.833  0.167  0.500
U  0.500  0.500  0.500
Se  0.079  0.415  0.244
Se  0.250  0.250  0.756
Se  0.415  0.079  0.244
Se  0.585  0.921  0.756
Se  0.750  0.750  0.244
Se  0.921  0.585  0.756

Properties
- space-group type = C2/m (12)
- final energy (eV per atom) = -5.43
- calculated volume (A^3/atom) = 23.44
- D(E_F) (states/eV per cell) = 6.4

=====

(3)
A relaxed structure of LiDy4YSe8, computed with PBE.

a = 8.367 Å, b = 8.367 Å, c = 8.367 Å
α = 59.96°, β = 59.96°, γ = 59.96°
Sites, in units of the cell vectors:
Li  0.000  0.000  0.000
Dy  0.110  0.630  0.630
Dy  0.250  0.250  0.250
Dy  0.630  0.110  0.630
Dy  0.630  0.630  0.110
Y  0.630  0.630  0.630
Se  0.384  0.384  0.384
Se  0.384  0.384  0.850
Se  0.384  0.850  0.384
Se  0.391  0.870  0.870
Se  0.850  0.384  0.384
Se  0.870  0.391  0.870
Se  0.870  0.870  0.391
Se  0.870  0.870  0.870

Properties
- space-group type = R3m (160)
- final energy (eV per atom) = -5.69
- calculated volume (A^3/atom) = 29.56
- D(E_F) (states/eV per cell) = 0.0

=====

(4)
A relaxed structure of LiDy2YSe4, computed with PBE.

a = 7.020 Å, b = 4.043 Å, c = 7.023 Å
α = 90.00°, β = 109.27°, γ = 90.00°
Sites, in units of the cell vectors:
Li  0.000  0.000  0.000
Dy  0.500  0.000  0.500
Dy  0.500  0.500  0.000
Y  0.000  0.500  0.500
Se  0.244  0.500  0.243
Se  0.245  0.000  0.756
Se  0.755  0.000  0.244
Se  0.756  0.500  0.757

Properties
- space-group type = P2/m (10)
- final energy (eV per atom) = -5.69
- calculated volume (A^3/atom) = 23.52
- D(E_F) (states/eV per cell) = 2.7

=====

(5)
A relaxed structure of Li2DyY3Se6, computed with PBE.

a = 6.996 Å, b = 6.996 Å, c = 7.012 Å
α = 99.58°, β = 99.58°, γ = 119.99°
Sites, in units of the cell vectors:
Li  0.168  0.832  0.000
Li  0.832  0.168  0.000
Dy  0.500  0.500  0.000
Y  0.000  0.000  0.500
Y  0.334  0.666  0.500
Y  0.666  0.334  0.500
Se  0.081  0.419  0.758
Se  0.242  0.242  0.242
Se  0.419  0.081  0.758
Se  0.581  0.919  0.242
Se  0.758  0.758  0.758
Se  0.919  0.581  0.242

Properties
- space-group type = C2/m (12)
- final energy (eV per atom) = -5.80
- calculated volume (A^3/atom) = 23.36
- D(E_F) (states/eV per cell) = 2.8

=====

(6)
A relaxed structure of Li3Dy2YSe6, computed with PBE.

a = 7.050 Å, b = 7.050 Å, c = 6.911 Å
α = 99.79°, β = 99.79°, γ = 120.00°
Sites, in units of the cell vectors:
Li  0.000  0.000  0.000
Li  0.334  0.666  0.000
Li  0.666  0.334  0.000
Dy  0.167  0.833  0.500
Dy  0.833  0.167  0.500
Y  0.500  0.500  0.500
Se  0.082  0.416  0.247
Se  0.251  0.251  0.753
Se  0.416  0.082  0.247
Se  0.584  0.918  0.753
Se  0.749  0.749  0.247
Se  0.918  0.584  0.753

Properties
- space-group type = C2/m (12)
- final energy (eV per atom) = -5.23
- calculated volume (A^3/atom) = 23.31
- D(E_F) (states/eV per cell) = 0.0

=====

(7)
A relaxed structure of LiDy3Y3Se8, computed with PBE.

a = 8.111 Å, b = 8.111 Å, c = 8.111 Å
α = 59.98°, β = 59.98°, γ = 59.98°
Sites, in units of the cell vectors:
Li  0.000  0.000  0.000
Dy  0.000  0.500  0.500
Dy  0.500  0.000  0.500
Dy  0.500  0.500  0.000
Y  0.000  0.000  0.500
Y  0.000  0.500  0.000
Y  0.500  0.000  0.000
Se  0.247  0.247  0.752
Se  0.247  0.752  0.247
Se  0.248  0.753  0.753
Se  0.250  0.250  0.250
Se  0.750  0.750  0.750
Se  0.752  0.247  0.247
Se  0.753  0.248  0.753
Se  0.753  0.753  0.248

Properties
- space-group type = R-3m (166)
- final energy (eV per atom) = -6.00
- calculated volume (A^3/atom) = 25.15
- D(E_F) (states/eV per cell) = 4.3

=====

(8)
A relaxed structure of LiDyY2Se4, computed with PBE.

a = 7.023 Å, b = 4.046 Å, c = 7.027 Å
α = 90.00°, β = 109.29°, γ = 90.00°
Sites, in units of the cell vectors:
Li  0.000  0.000  0.000
Dy  0.500  0.500  0.000
Y  0.000  0.500  0.500
Y  0.500  0.000  0.500
Se  0.243  0.500  0.242
Se  0.245  0.000  0.756
Se  0.755  0.000  0.244
Se  0.757  0.500  0.758

Properties
- space-group type = P2/m (10)
- final energy (eV per atom) = -5.92
- calculated volume (A^3/atom) = 23.56
- D(E_F) (states/eV per cell) = 2.8

=====

(9)
A relaxed structure of Li4DyY3Se8, computed with PBE.

a = 8.025 Å, b = 8.025 Å, c = 8.025 Å
α = 60.97°, β = 60.97°, γ = 60.97°
Sites, in units of the cell vectors:
Li  0.000  0.000  0.000
Li  0.000  0.500  0.500
Li  0.500  0.000  0.500
Li  0.500  0.500  0.000
Dy  0.500  0.500  0.500
Y  0.000  0.000  0.500
Y  0.000  0.500  0.000
Y  0.500  0.000  0.000
Se  0.249  0.249  0.748
Se  0.249  0.748  0.249
Se  0.251  0.251  0.251
Se  0.252  0.751  0.751
Se  0.748  0.249  0.249
Se  0.749  0.749  0.749
Se  0.751  0.252  0.751
Se  0.751  0.751  0.252

Properties
- space-group type = R-3m (166)
- final energy (eV per atom) = -5.42
- calculated volume (A^3/atom) = 23.34

=====

(10)
A relaxed structure of LiDy2Y3Se6, computed with PBE.

a = 7.026 Å, b = 7.026 Å, c = 7.044 Å
α = 99.62°, β = 99.62°, γ = 120.12°
Sites, in units of the cell vectors:
Li  0.000  0.000  0.000
Dy  0.335  0.665  0.000
Dy  0.665  0.335  0.000
Y  0.167  0.833  0.500
Y  0.500  0.500  0.500
Y  0.833  0.167  0.500
Se  0.081  0.405  0.244
Se  0.242  0.242  0.758
Se  0.405  0.081  0.244
Se  0.595  0.919  0.756
Se  0.758  0.758  0.242
Se  0.919  0.595  0.756

Properties
- space-group type = C2/m (12)
- final energy (eV per atom) = -6.04
- calculated volume (A^3/atom) = 23.62
- D(E_F) (states/eV per cell) = 5.2

=====

(11)
A relaxed structure of LiDy4Y3Se8, computed with PBE.

a = 8.130 Å, b = 8.130 Å, c = 8.130 Å
α = 60.02°, β = 60.02°, γ = 60.02°
Sites, in units of the cell vectors:
Li  0.000  0.000  0.000
Dy  0.000  0.000  0.500
Dy  0.000  0.500  0.000
Dy  0.500  0.000  0.000
Dy  0.500  0.500  0.500
Y  0.000  0.500  0.500
Y  0.500  0.000  0.500
Y  0.500  0.500  0.000
Se  0.244  0.755  0.755
Se  0.245  0.245  0.756
Se  0.245  0.756  0.245
Se  0.250  0.250  0.250
Se  0.750  0.750  0.750
Se  0.755  0.244  0.755
Se  0.755  0.755  0.244
Se  0.756  0.245  0.245

Properties
- space-group type = R-3m (166)
- final energy (eV per atom) = -5.97
- calculated volume (A^3/atom) = 23.76
- D(E_F) (states/eV per cell) = 7.4

=====

(12)
A relaxed structure of LiDyZrSe4, computed with PBE.

a = 8.089 Å, b = 8.089 Å, c = 8.089 Å
α = 121.44°, β = 118.76°, γ = 89.84°
Sites, in units of the cell vectors:
Li  0.375  0.125  0.250
Li  0.625  0.875  0.750
Dy  0.000  0.500  0.500
Dy  0.500  0.500  0.000
Zr  0.000  0.000  0.500
Zr  0.000  0.500  0.000
Se  0.229  0.249  0.980
Se  0.231  0.751  0.480
Se  0.236  0.238  0.502
Se  0.236  0.734  0.998
Se  0.764  0.266  0.002
Se  0.764  0.762  0.498
Se  0.769  0.249  0.520
Se  0.771  0.751  0.020

Properties
- space-group type = Imma (74)
- final energy (eV per atom) = -5.67
- calculated volume (A^3/atom) = 26.68

=====

(13)
A relaxed structure of Li2DyZrSe4, computed with PBE.

a = 6.816 Å, b = 3.902 Å, c = 6.916 Å
α = 90.00°, β = 109.00°, γ = 90.00°
Sites, in units of the cell vectors:
Li  0.000  0.000  0.000
Li  0.500  0.500  0.000
Dy  0.000  0.500  0.500
Zr  0.500  0.000  0.500
Se  0.258  0.500  0.248
Se  0.262  0.000  0.756
Se  0.738  0.000  0.244
Se  0.742  0.500  0.752

Properties
- space-group type = P2/m (10)
- final energy (eV per atom) = -5.35
- calculated volume (A^3/atom) = 21.74
- D(E_F) (states/eV per cell) = 2.8

=====

(14)
A relaxed structure of Li3Dy3ZrSe8, computed with PBE.

a = 7.997 Å, b = 7.997 Å, c = 7.997 Å
α = 60.57°, β = 60.57°, γ = 60.57°
Sites, in units of the cell vectors:
Li  0.000  0.500  0.500
Li  0.500  0.000  0.500
Li  0.500  0.500  0.000
Dy  0.000  0.000  0.500
Dy  0.000  0.500  0.000
Dy  0.500  0.000  0.000
Zr  0.500  0.500  0.500
Se  0.252  0.252  0.252
Se  0.259  0.259  0.737
Se  0.259  0.737  0.259
Se  0.263  0.741  0.741
Se  0.737  0.259  0.259
Se  0.741  0.263  0.741
Se  0.741  0.741  0.263
Se  0.748  0.748  0.748

Properties
- space-group type = R-3m (166)
- final energy (eV per atom) = -5.35
- calculated volume (A^3/atom) = 24.42

=====

(15)
A relaxed structure of LiDySi2, computed with PBE.

a = 4.131 Å, b = 4.131 Å, c = 4.159 Å
α = 90.00°, β = 90.00°, γ = 90.00°
Sites, in units of the cell vectors:
Li  0.000  0.000  0.000
Dy  0.500  0.500  0.000
Si  0.000  0.500  0.500
Si  0.500  0.000  0.500

Properties
- space-group type = P4/mmm (123)
- energy above the most stable polymorph in this dataset (meV/atom) = 175
- final energy (eV per atom) = -4.74
- calculated volume (A^3/atom) = 17.74
- D(E_F) (states/eV per cell) = 1.0

=====

(16)
A relaxed structure of Li3DySi3, computed with PBE.

a = 6.498 Å, b = 6.498 Å, c = 6.498 Å
α = 90.00°, β = 90.00°, γ = 90.00°
Sites, in units of the cell vectors:
Li  0.000  0.250  0.500
Li  0.000  0.750  0.500
Li  0.250  0.500  0.000
Li  0.500  0.000  0.250
Li  0.500  0.000  0.750
Li  0.750  0.500  0.000
Dy  0.000  0.000  0.000
Dy  0.500  0.500  0.500
Si  0.000  0.500  0.250
Si  0.000  0.500  0.750
Si  0.250  0.000  0.500
Si  0.500  0.250  0.000
Si  0.500  0.750  0.000
Si  0.750  0.000  0.500

Properties
- space-group type = Pm-3n (223)
- final energy (eV per atom) = -3.35
- calculated volume (A^3/atom) = 19.60
- D(E_F) (states/eV per cell) = 12.3

=====

(17)
A relaxed structure of Li2DySi4, computed with PBE.

a = 9.289 Å, b = 9.289 Å, c = 9.289 Å
α = 24.90°, β = 24.90°, γ = 24.90°
Sites, in units of the cell vectors:
Li  0.137  0.137  0.137
Li  0.863  0.863  0.863
Dy  0.000  0.000  0.000
Si  0.240  0.240  0.240
Si  0.401  0.401  0.401
Si  0.599  0.599  0.599
Si  0.760  0.760  0.760

Properties
- space-group type = R-3m (166)
- final energy (eV per atom) = -4.54
- calculated volume (A^3/atom) = 17.85
- D(E_F) (states/eV per cell) = 1.9

=====

(18)
A relaxed structure of LiDy2Si3, computed with PBE.

a = 8.152 Å, b = 8.081 Å, c = 5.686 Å
α = 70.17°, β = 68.82°, γ = 41.00°
Sites, in units of the cell vectors:
Li  0.166  0.166  0.834
Li  0.834  0.834  0.166
Dy  0.250  0.250  0.250
Dy  0.257  0.743  0.743
Dy  0.743  0.257  0.257
Dy  0.750  0.750  0.750
Si  0.163  0.670  0.330
Si  0.330  0.837  0.163
Si  0.334  0.334  0.666
Si  0.666  0.666  0.334
Si  0.670  0.163  0.837
Si  0.837  0.330  0.670

Properties
- space-group type = Fmmm (69)
- final energy (eV per atom) = -5.20
- calculated volume (A^3/atom) = 18.98
- D(E_F) (states/eV per cell) = 3.6

=====

(19)
A relaxed structure of Li4DySi2, computed with PBE.

a = 3.976 Å, b = 3.992 Å, c = 8.445 Å
α = 90.00°, β = 103.46°, γ = 90.00°
Sites, in units of the cell vectors:
Li  0.172  0.000  0.348
Li  0.327  0.500  0.650
Li  0.673  0.500  0.350
Li  0.828  0.000  0.652
Dy  0.500  0.000  0.000
Si  0.070  0.500  0.141
Si  0.930  0.500  0.859

Properties
- space-group type = P2/m (10)
- final energy (eV per atom) = -3.63
- calculated volume (A^3/atom) = 18.62
- D(E_F) (states/eV per cell) = 1.9

=====

(20)
A relaxed structure of LiDy2Si, computed with PBE.

a = 4.770 Å, b = 4.770 Å, c = 3.909 Å
α = 90.00°, β = 90.00°, γ = 90.00°
Sites, in units of the cell vectors:
Li  0.000  0.000  0.000
Dy  0.000  0.500  0.500
Dy  0.500  0.000  0.500
Si  0.500  0.500  0.000

Properties
- space-group type = P4/mmm (123)
- final energy (eV per atom) = -4.48
- calculated volume (A^3/atom) = 22.23
- D(E_F) (states/eV per cell) = 3.0

=====

(21)
A relaxed structure of LiDySi4, computed with PBE.

a = 5.201 Å, b = 5.201 Å, c = 5.201 Å
α = 60.00°, β = 60.00°, γ = 60.00°
Sites, in units of the cell vectors:
Li  0.000  0.000  0.000
Dy  0.750  0.750  0.750
Si  0.373  0.373  0.373
Si  0.373  0.373  0.881
Si  0.373  0.881  0.373
Si  0.881  0.373  0.373

Properties
- space-group type = F-43m (216)
- final energy (eV per atom) = -4.97
- calculated volume (A^3/atom) = 16.58
- D(E_F) (states/eV per cell) = 1.0

=====

(22)
A relaxed structure of LiDy2Si, computed with PBE.

a = 10.506 Å, b = 10.506 Å, c = 10.506 Å
α = 19.93°, β = 19.93°, γ = 19.93°
Sites, in units of the cell vectors:
Li  0.000  0.000  0.000
Dy  0.106  0.106  0.106
Dy  0.894  0.894  0.894
Si  0.500  0.500  0.500

Properties
- space-group type = R-3m (166)
- final energy (eV per atom) = -4.14
- calculated volume (A^3/atom) = 29.46
- D(E_F) (states/eV per cell) = 4.0